(1)
Density functional theory data (GGA-PBE) for an optimized crystal structure of AlS4Cl.

Output
Raw formation energy in eV/atom: -0.33
Crystal system: monoclinic

CIF file:
```
data_AlS4Cl
_chemical_formula_sum 'Al2 S8 Cl2'
_space_group_name_H-M_alt 'P 1'
_space_group_IT_number 1
_cell_length_a 5.6836
_cell_length_b 4.8535
_cell_length_c 15.2265
_cell_angle_alpha 80.83
_cell_angle_beta 84.04
_cell_angle_gamma 49.31
loop_
_space_group_symop_operation_xyz
'x,y,z'
loop_
_atom_site_label
_atom_site_type_symbol
_atom_site_fract_x
_atom_site_fract_y
_atom_site_fract_z
S1 S 0.1003 0.7072 0.1266
S2 S 0.3997 0.1662 0.1266
Cl1 Cl 0.2500 0.6249 0.7501
S3 S 0.8997 0.2928 0.8734
Al1 Al 0.7500 0.8751 0.2498
Al2 Al 0.2500 0.1249 0.7502
Cl2 Cl 0.7500 0.3751 0.2499
S4 S 0.0998 0.5841 0.3730
S5 S 0.4002 0.0429 0.3730
S6 S 0.6003 0.8338 0.8734
S7 S 0.5998 0.9571 0.6270
S8 S 0.9002 0.4159 0.6270
```

=====

(2)
Density functional theory data (GGA-PBE) for an optimized crystal structure of Er4Zn3Ga16.

Output
Crystal system: tetragonal
Calculated formation energy in kJ per mole of atoms: -29.9

CIF file:
```
data_Er4Zn3Ga16
_chemical_formula_sum 'Er4 Zn3 Ga16'
_space_group_name_H-M_alt 'P 1'
_space_group_IT_number 1
_cell_length_a 6.2383
_cell_length_b 6.2383
_cell_length_c 11.2587
_cell_angle_alpha 90.00
_cell_angle_beta 90.00
_cell_angle_gamma 90.00
loop_
_space_group_symop_operation_xyz
'x,y,z'
loop_
_atom_site_label
_atom_site_type_symbol
_atom_site_fract_x
_atom_site_fract_y
_atom_site_fract_z
Ga1 Ga 0.7101 0.2899 0.0000
Ga2 Ga 0.5000 0.5000 0.8038
Ga3 Ga 0.7419 0.7419 0.3751
Ga4 Ga 0.2899 0.2899 0.0000
Ga5 Ga 0.7419 0.7419 0.6249
Er1 Er 0.0000 0.5000 0.1870
Ga6 Ga 0.2581 0.2581 0.6249
Ga7 Ga 0.2581 0.7419 0.3751
Ga8 Ga 0.7419 0.2581 0.3751
Ga9 Ga 0.2899 0.7101 0.0000
Ga10 Ga 0.2581 0.2581 0.3751
Ga11 Ga 0.2581 0.7419 0.6249
Ga12 Ga 0.5000 0.5000 0.1962
Er2 Er 0.5000 0.0000 0.1870
Ga13 Ga 0.7101 0.7101 0.0000
Zn1 Zn 0.5000 0.0000 0.5000
Zn2 Zn 0.0000 0.0000 0.0000
Er3 Er 0.5000 0.0000 0.8130
Ga14 Ga 0.0000 0.0000 0.7636
Er4 Er 0.0000 0.5000 0.8130
Ga15 Ga 0.7419 0.2581 0.6249
Zn3 Zn 0.0000 0.5000 0.5000
Ga16 Ga 0.0000 0.0000 0.2364
```

=====

(3)
Density functional theory data (GGA-PBE) for an optimized crystal structure of NiHgW.

Output
Energy above the most stable polymorph in this dataset in eV/f.u.: 2.53
Crystal system: cubic
Calculated formation energy in kJ per mole of atoms: 117.8

CIF file:
```
data_NiHgW
_chemical_formula_sum 'Ni1 Hg1 W1'
_space_group_name_H-M_alt 'P 1'
_space_group_IT_number 1
_cell_length_a 4.3303
_cell_length_b 4.3303
_cell_length_c 4.3303
_cell_angle_alpha 60.00
_cell_angle_beta 60.00
_cell_angle_gamma 60.00
loop_
_space_group_symop_operation_xyz
'x,y,z'
loop_
_atom_site_label
_atom_site_type_symbol
_atom_site_fract_x
_atom_site_fract_y
_atom_site_fract_z
Ni1 Ni 0.5000 0.5000 0.5000
Hg1 Hg 0.0000 0.0000 0.0000
W1 W 0.2500 0.2500 0.2500
```

=====

(4)
Density functional theory data (GGA-PBE) for an optimized crystal structure of NaMgSe2N.

Output
Raw formation energy in eV/atom: 0.84
Energy above the most stable polymorph in this dataset in eV/f.u.: 2.98
Crystal system: tetragonal

CIF file:
```
data_NaMgSe2N
_chemical_formula_sum 'Na1 Mg1 Se2 N1'
_space_group_name_H-M_alt 'P 1'
_space_group_IT_number 1
_cell_length_a 5.2179
_cell_length_b 5.2179
_cell_length_c 4.3131
_cell_angle_alpha 90.00
_cell_angle_beta 90.00
_cell_angle_gamma 90.00
loop_
_space_group_symop_operation_xyz
'x,y,z'
loop_
_atom_site_label
_atom_site_type_symbol
_atom_site_fract_x
_atom_site_fract_y
_atom_site_fract_z
Se1 Se 0.0000 0.5000 0.0000
Se2 Se 0.5000 0.0000 0.0000
Mg1 Mg 0.5000 0.5000 0.5000
Na1 Na 0.0000 0.0000 0.0000
N1 N 0.0000 0.0000 0.5000
```